Computed, not measured: a geometry-optimized TlBi2PdAu structure at the PBE-GGA level of DFT. Values from VASP.

The structure in Quantum ESPRESSO input format:
```
&SYSTEM
  ibrav = 0, nat = 5, ntyp = 4
/
ATOMIC_SPECIES
Tl 204.38 Tl.upf
Bi 208.98 Bi.upf
Pd 106.42 Pd.upf
Au 196.97 Au.upf
CELL_PARAMETERS angstrom
5.248 0.000 0.000
0.000 5.248 0.000
0.000 0.000 6.061
ATOMIC_POSITIONS crystal
Tl 0.000 0.000 0.000
Bi 0.000 0.500 0.397
Bi 0.500 0.000 0.397
Pd 0.000 0.000 0.546
Au 0.500 0.500 0.196
```

Calculated values
formation energy from the elements	33	meV per atom
raw total energy	-3.6866	eV/atom